Record 1
Below is a geometry-optimized Ce3BiH structure, with properties calculated at the GGA-PBE level.

```
Ce3BiH
1.0
4.8791 0.0000 0.0000
0.0000 4.8791 0.0000
0.0000 0.0000 4.8791
Ce Bi H
3 1 1
direct
0.0000 0.0000 0.5000
0.0000 0.5000 0.0000
0.5000 0.0000 0.0000
0.5000 0.5000 0.5000
0.0000 0.0000 0.0000
```

Calculated values
Space group   Pm-3m
VASP energy   -5.476 eV per atom
Spin magnetization   2.70 μB per cell



Record 2
Below is a geometry-optimized CuRe2Pb structure, with properties calculated at the GGA-PBE level.

```
CuRe2Pb
1.0
3.1475 0.0000 0.0000
0.0000 4.4838 0.0000
0.0000 0.0000 4.7107
Cu Re Pb
1 2 1
direct
0.0000 0.0000 0.0000
0.0000 0.5000 0.5000
0.5000 0.0000 0.5000
0.5000 0.5000 0.0000
```

Calculated values
Excess energy over the best structure of this formula in the dataset   401 meV per atom
Space group   Pmmm
Energy of formation from the pure elements   0.883 eV/atom
Spin magnetization   0.00 μB per cell



Record 3
Below is a geometry-optimized LuZr2Cd structure, with properties calculated at the GGA-PBE level.

```
LuZr2Cd
1.0
4.4921 0.0000 0.0000
0.0000 4.4921 0.0000
0.0000 0.0000 4.6481
Lu Zr Cd
1 2 1
direct
0.0000 0.0000 0.0000
0.0000 0.5000 0.5000
0.5000 0.0000 0.5000
0.5000 0.5000 0.0000
```

Calculated values
Excess energy over the best structure of this formula in the dataset   0 meV per atom
Space group   P4/mmm
Energy of formation from the pure elements   -0.031 eV/atom
Spin magnetization   0.00 μB per cell



Record 4
Below is a geometry-optimized La3ZnN structure, with properties calculated at the GGA-PBE level.

```
La3ZnN
1.0
3.3145 1.9136 7.2263
-3.3145 1.9136 7.2263
0.0000 -3.8273 7.2263
La Zn N
6 2 2
direct
0.0690 0.4325 0.7970
0.2030 0.9310 0.5674
0.4325 0.7970 0.0690
0.5675 0.2030 0.9310
0.7970 0.0690 0.4325
0.9310 0.5674 0.2030
0.3417 0.3417 0.3417
0.6583 0.6583 0.6583
0.1646 0.1646 0.1646
0.8354 0.8354 0.8354
```

Calculated values
Excess energy over the best structure of this formula in the dataset   150 meV per atom
Space group   R-3
Energy relative to the elements, uncorrected   -0.546 eV per atom
Spin magnetization   0.00 μB per cell



Record 5
Below is a geometry-optimized TbZn3Pd4 structure, with properties calculated at the GGA-PBE level.

```
TbZn3Pd4
1.0
2.2170 1.2800 7.7387
-2.2170 1.2800 7.7387
0.0000 -2.5600 7.7387
Tb Zn Pd
1 3 4
direct
0.0000 0.0000 0.0000
0.2453 0.2453 0.2453
0.5000 0.5000 0.5000
0.7547 0.7547 0.7547
0.1283 0.1283 0.1283
0.3918 0.3918 0.3918
0.6082 0.6082 0.6082
0.8717 0.8717 0.8717
```

Calculated values
Space group   R-3m
Energy of formation from the pure elements   -0.625 eV/atom
Spin magnetization   0.00 μB per cell



Record 6
Below is a geometry-optimized Pr2Dy3ScSe6 structure, with properties calculated at the GGA-PBE level.

```
Pr2Dy3ScSe6
1.0
8.9540 -2.0449 0.0000
8.9540 2.0449 0.0000
-1.9034 0.0000 8.0638
Pr Dy Sc Se
2 3 1 6
direct
0.1679 0.1679 0.3351
0.8321 0.8321 0.6649
0.1727 0.1727 0.8359
0.5000 0.5000 0.5000
0.8273 0.8273 0.1641
0.5000 0.5000 0.0000
0.0054 0.0054 0.7620
0.3383 0.3383 0.4070
0.3401 0.3401 0.9310
0.6599 0.6599 0.0690
0.6617 0.6617 0.5930
0.9946 0.9946 0.2380
```

Calculated values
Space group   C2/m
Energy relative to the elements, uncorrected   -1.737 eV per atom
Spin magnetization   0.00 μB per cell



Record 7
Below is a geometry-optimized Er2In2Hg structure, with properties calculated at the GGA-PBE level.

```
Er2In2Hg
1.0
5.6205 -2.3489 0.0000
5.6205 2.3489 0.0000
-4.5822 0.0000 9.8253
Er In Hg
4 4 2
direct
0.0075 0.0075 0.3240
0.1742 0.1742 0.0971
0.8258 0.8258 0.9029
0.9925 0.9925 0.6760
0.3576 0.3576 0.4447
0.4577 0.4577 0.1113
0.5423 0.5423 0.8887
0.6424 0.6424 0.5553
0.2776 0.2776 0.6850
0.7224 0.7224 0.3150
```

Calculated values
Excess energy over the best structure of this formula in the dataset   0 meV per atom
Space group   C2/m
Energy of formation from the pure elements   -0.385 eV/atom
Spin magnetization   0.00 μB per cell



Record 8
Below is a geometry-optimized Tb4AgAu2 structure, with properties calculated at the GGA-PBE level.

```
Tb4AgAu2
1.0
2.5296 1.4605 8.3243
-2.5296 1.4605 8.3243
0.0000 -2.9210 8.3243
Tb Ag Au
4 1 2
direct
0.1229 0.1229 0.1229
0.3737 0.3737 0.3737
0.6263 0.6263 0.6263
0.8771 0.8771 0.8771
0.5000 0.5000 0.5000
0.2538 0.2538 0.2538
0.7462 0.7462 0.7462
```

Calculated values
Excess energy over the best structure of this formula in the dataset   0 meV per atom
Space group   R-3m
Energy of formation from the pure elements   -0.517 eV/atom
Spin magnetization   0.00 μB per cell